KCoOs | PBE-GGA | optimized geometry

a b c (Å): 4.461 4.461 4.461
angles (deg): 60.00 60.00 60.00
Fractional positions:
Co 0.000 0.000 0.000
K 0.250 0.250 0.250
Os 0.750 0.750 0.750

Computed properties:
For the energy above the most stable polymorph in this dataset, the calculation gives 0.000 eV per atom. For the calculated total energy, the calculation gives -4.5658 eV per atom. Its density is 7.63 g cm⁻³. The space group is F-43m, No. 216.